(1)
! LaTb6Er2Tm, relaxed, DFT PBE; values from VASP
! - space-group type = No. 15
! - E_form (meV/atom) = 120
! - DOS(E_F) (states/eV/f.u.) = 14.89
! - M_tot (μB per atom) = 0.000
! - E_tot (eV/cell) = -90.21
&SYSTEM
  ibrav = 0, nat = 20, ntyp = 4
/
ATOMIC_SPECIES
Tb 158.93 Tb.upf
Er 167.26 Er.upf
Tm 168.93 Tm.upf
La 138.91 La.upf
CELL_PARAMETERS angstrom
9.026 -1.945 -2.018
0.944 8.530 -1.956
0.944 -2.271 8.452
ATOMIC_POSITIONS angstrom
Tb 5.057 -0.772 6.051
Tb 8.750 -0.403 2.003
Tb 5.857 5.087 -1.573
Tb 9.570 5.103 -1.557
Tb 6.677 1.326 3.797
Tb 8.737 -0.055 5.852
Tb 1.344 -0.788 6.034
Tb 4.224 6.822 1.171
Tb 6.690 -2.507 3.307
Tb 2.164 4.717 2.475
Tb 4.238 2.989 0.681
Tb 2.177 4.370 -1.374
Er 5.458 4.351 3.393
Er 5.456 -0.037 1.085
Er 9.971 2.257 3.465
Er 0.944 2.058 1.013
Tm 7.714 2.628 0.812
Tm 3.201 1.687 3.665
La 3.201 7.697 -2.126
La 7.714 -3.383 6.604

=====

(2)
! Re2Mo2Ru5, relaxed, DFT PBE; values from VASP
! - space-group type = No. 12
! - E_form (meV/atom) = 251
! - DOS(E_F) (states/eV/f.u.) = 6.99
! - M_tot (μB per atom) = 0.000
! - E_tot (eV/cell) = -90.67
&SYSTEM
  ibrav = 0, nat = 9, ntyp = 3
/
ATOMIC_SPECIES
Re 186.21 Re.upf
Ru 101.07 Ru.upf
Mo 95.94 Mo.upf
CELL_PARAMETERS angstrom
4.051 0.000 1.504
1.477 4.248 2.228
-0.585 0.079 7.785
ATOMIC_POSITIONS angstrom
Re 1.923 4.028 7.234
Re 3.019 0.298 4.282
Ru 2.859 3.924 4.715
Ru 2.084 0.402 6.802
Ru 0.912 2.117 3.751
Ru 4.031 2.209 7.766
Ru 0.000 0.000 0.000
Mo 1.377 1.799 8.705
Mo 3.565 2.527 2.811

=====

(3)
! BaSr4Au2, relaxed, DFT PBE; values from VASP
! - space-group type = No. 11
! - E_form (meV/atom) = -439
! - DOS(E_F) (states/eV/f.u.) = 5.94
! - M_tot (μB per atom) = 0.000
! - E_tot (eV/cell) = -36.56
&SYSTEM
  ibrav = 0, nat = 14, ntyp = 3
/
ATOMIC_SPECIES
Ba 137.33 Ba.upf
Au 196.97 Au.upf
Sr 87.62 Sr.upf
CELL_PARAMETERS angstrom
-4.456 1.397 5.688
-4.886 -8.495 -1.741
6.696 -0.686 5.415
ATOMIC_POSITIONS angstrom
Ba -5.034 -6.633 0.066
Ba 2.388 -1.151 9.295
Au -0.183 -5.358 3.554
Au -6.541 -4.815 3.200
Au 3.895 -2.968 6.161
Au -2.463 -2.426 5.808
Sr -0.305 -2.066 2.649
Sr 0.692 -3.381 6.140
Sr -0.967 0.693 6.214
Sr -1.679 -8.476 3.147
Sr -1.116 -5.100 0.385
Sr -2.341 -5.717 6.712
Sr -1.530 -2.684 8.977
Sr -3.338 -4.403 3.221

=====

(4)
! TbAlFe2H8, relaxed, DFT PBE; values from VASP
! - space-group type = No. 164
! - DOS(E_F) (states/eV/f.u.) = 3.05
! - M_tot (μB per atom) = 0.000
! - E_tot (eV/cell) = -51.39
&SYSTEM
  ibrav = 0, nat = 12, ntyp = 4
/
ATOMIC_SPECIES
H 1.01 H.upf
Tb 158.93 Tb.upf
Fe 55.84 Fe.upf
Al 26.98 Al.upf
CELL_PARAMETERS angstrom
-3.251 -2.711 1.066
3.602 0.162 2.461
-2.649 4.582 3.575
ATOMIC_POSITIONS angstrom
H -2.835 -1.298 2.046
H -0.996 0.235 1.443
H -1.500 3.239 3.664
H -0.285 1.977 4.159
H 0.537 3.331 5.056
H -1.301 1.798 5.658
H -2.013 0.056 2.943
H -0.798 -1.206 3.437
Tb -1.324 2.291 1.788
Fe -0.941 3.112 5.045
Fe -1.357 -1.079 2.057
Al 0.000 0.000 0.000

=====

(5)
! Dy2TmCdAu4, relaxed, DFT PBE; values from VASP
! - space-group type = No. 166
! - E_form (meV/atom) = -794
! - DOS(E_F) (states/eV/f.u.) = 5.02
! - M_tot (μB per atom) = 0.000
! - E_tot (eV/cell) = -34.05
&SYSTEM
  ibrav = 0, nat = 8, ntyp = 4
/
ATOMIC_SPECIES
Au 196.97 Au.upf
Cd 112.41 Cd.upf
Tm 168.93 Tm.upf
Dy 162.50 Dy.upf
CELL_PARAMETERS angstrom
-3.123 -2.644 -2.856
-0.629 -4.878 0.845
-7.429 -0.813 4.516
ATOMIC_POSITIONS angstrom
Au -6.237 -6.841 0.075
Au -7.811 -3.559 3.117
Au -4.943 -1.495 2.430
Au -3.370 -4.777 -0.612
Cd 0.000 0.000 0.000
Tm -5.590 -4.168 1.252
Dy -2.673 -2.117 0.524
Dy -8.507 -6.218 1.981

=====

(6)
! Nd3DyY7, relaxed, DFT PBE; values from VASP
! - space-group type = No. 10
! - E_form (meV/atom) = 141
! - DOS(E_F) (states/eV/f.u.) = 17.48
! - ΔE to the lowest computed polymorph (eV per formula unit) = 0.00
! - M_tot (μB per atom) = 0.000
! - E_tot (eV/cell) = -62.61
&SYSTEM
  ibrav = 0, nat = 11, ntyp = 3
/
ATOMIC_SPECIES
Nd 144.24 Nd.upf
Dy 162.50 Dy.upf
Y 88.91 Y.upf
CELL_PARAMETERS angstrom
8.379 -0.831 -2.919
-2.280 9.985 -0.579
-1.883 -0.126 5.236
ATOMIC_POSITIONS angstrom
Nd 6.031 -0.639 -0.804
Nd -1.814 9.668 2.542
Nd 5.356 4.036 2.027
Dy 2.108 4.514 0.869
Y 0.242 1.615 0.126
Y 3.974 7.414 1.612
Y -0.577 3.414 2.833
Y 3.248 -0.478 1.158
Y 4.793 5.615 -1.096
Y 4.430 2.323 -1.306
Y -0.213 6.706 3.043